Cs2AgPtN: relaxed, GGA-PBE.

The uncorrected formation energy comes out at 0.043 eV per atom. The value obtained for the electronic total energy is -3.74 eV per atom. For the volume, the calculation gives 36.58 Å³/atom. As for the space group: P4/mmm. For the polymorph energy (0 for the lowest one), the calculation gives 79 meV/atom. Its density of states at the Fermi level is 3.4 states/eV/cell.

abc: 6.999 6.999 3.734
angles: 90.00 90.00 90.00
Element x y z (fractional)
Cs1 0.000 0.500 0.000
Cs2 0.500 0.000 0.000
Ag1 0.000 0.000 0.500
Pt1 0.500 0.500 0.000
N1 0.500 0.500 0.500